# 1
This record from Alexandria via LeMat-Bulk describes a geometry-optimized NdWO4 structure. The functional is PBE with a Hubbard U.

Lattice parameters (Å, degrees): 7.5592 7.5592 6.8704 90.00 90.00 90.00
Space group I4_1/amd (No. 141, origin choice 2)
Inequivalent atoms, fractional coordinates:
Nd (0.0000, 0.2500, 0.3750) x4
W (0.0000, 0.2500, 0.8750) x4
O (0.0000, 0.0627, 0.6940) x16

Properties
- calculated density (g/cm3) = 6.634
- DFT total energy (Ry/atom) = -0.57239



# 2
This record from Alexandria via LeMat-Bulk describes a geometry-optimized Nd2WO6 structure. The functional is PBE with a Hubbard U.

Lattice parameters (Å, degrees): 5.4508 9.4222 10.2908 90.00 90.00 90.00
Space group P2_12_12_1 (No. 19)
Inequivalent atoms, fractional coordinates:
Nd (0.0227, 0.1037, 0.4623) x4
Nd (0.0345, 0.2187, 0.8682) x4
W (0.0408, 0.4963, 0.3520) x4
O (0.0751, 0.8481, 0.0277) x4
O (0.1699, 0.9507, 0.2888) x4
O (0.1837, 0.6382, 0.2404) x4
O (0.1900, 0.6347, 0.8211) x4
O (0.2231, 0.1122, 0.0652) x4
O (0.2489, 0.5885, 0.4914) x4

Properties
- E above lowest polymorph (eV per formula unit) = 0.00
- calculated density (g/cm3) = 7.142
- DFT total energy (Ry/atom) = -0.59414



# 3
This record from Alexandria via LeMat-Bulk describes a geometry-optimized NdWO4 structure. The functional is PBE with a Hubbard U.

Lattice parameters (Å, degrees): 7.0848 7.2953 3.3937 90.00 90.00 90.00
Space group Cmmm (No. 65)
Inequivalent atoms, fractional coordinates:
Nd (0.0000, 0.0000, 0.0000) x2
W (0.0000, 0.5000, 0.5000) x2
O (0.0000, 0.3280, 0.0000) x4
O (0.2277, 0.0000, 0.5000) x4

Properties
- calculated density (g/cm3) = 7.424
- DFT total energy (Ry/atom) = -0.57965



# 4
This record from Alexandria via LeMat-Bulk describes a geometry-optimized NdW4O12 structure. The functional is PBE with a Hubbard U.

Lattice parameters (Å, degrees): 7.7383 7.8627 7.8843 90.00 90.00 90.00
Space group Immm (No. 71)
Inequivalent atoms, fractional coordinates:
Nd (0.0000, 0.0000, 0.0000) x2
W (0.2500, 0.2500, 0.2500) x8
O (0.0000, 0.2718, 0.2702) x8
O (0.2141, 0.2396, 0.0000) x8
O (0.2175, 0.0000, 0.2448) x8

Properties
- calculated density (g/cm3) = 7.419
- DFT total energy (Ry/atom) = -0.56210



# 5
This record from Alexandria via LeMat-Bulk describes a geometry-optimized Nd2WO6 structure. The functional is PBE with a Hubbard U.

Lattice parameters (Å, degrees): 5.6388 5.9924 9.5268 90.00 120.07 90.00
Space group P2_1/c (No. 14)
Inequivalent atoms, fractional coordinates:
Nd (0.1954, 0.0746, 0.2361) x4
W (0.5000, 0.0000, 0.0000) x2
O (0.1734, 0.1719, 0.9528) x4
O (0.2548, 0.7433, 0.8961) x4
O (0.4546, 0.0928, 0.7931) x4

Properties
- E above lowest polymorph (eV per formula unit) = 0.56
- calculated density (g/cm3) = 6.775
- DFT total energy (Ry/atom) = -0.58959



# 6
This record from Alexandria via LeMat-Bulk describes a geometry-optimized Nd5W2O12 structure. The functional is PBE with a Hubbard U.

Lattice parameters (Å, degrees): 12.8663 5.9144 7.8893 90.00 107.98 90.00
Space group C2/m (No. 12)
Inequivalent atoms, fractional coordinates:
Nd (0.0000, 0.0000, 0.0000) x2
Nd (0.1875, 0.5000, 0.3264) x4
Nd (0.1934, 0.5000, 0.8591) x4
W (0.0000, 0.2177, 0.5000) x4
O (0.9996, 0.0000, 0.2985) x4
O (0.9997, 0.5000, 0.3284) x4
O (0.1561, 0.2521, 0.0772) x8
O (0.1604, 0.2528, 0.5798) x8

Properties
- calculated density (g/cm3) = 7.449
- DFT total energy (Ry/atom) = -0.59443



# 7
This record from Alexandria via LeMat-Bulk describes a geometry-optimized NdWO5 structure. The functional is PBE with a Hubbard U.

Lattice parameters (Å, degrees): 5.4465 13.0575 7.2652 90.00 116.63 90.00
Space group P2_1/c (No. 14)
Inequivalent atoms, fractional coordinates:
Nd (0.1366, 0.0550, 0.2884) x4
W (0.3679, 0.1390, 0.8562) x4
O (0.0525, 0.0944, 0.5832) x4
O (0.1422, 0.0841, 0.9608) x4
O (0.3040, 0.6234, 0.4152) x4
O (0.3224, 0.2247, 0.3238) x4
O (0.4933, 0.0653, 0.6775) x4

Properties
- E above lowest polymorph (eV per formula unit) = 0.07
- calculated density (g/cm3) = 5.868
- DFT total energy (Ry/atom) = -0.55369



# 8
This record from Alexandria via LeMat-Bulk describes a geometry-optimized NdWO5 structure. The functional is PBE with a Hubbard U.

Lattice parameters (Å, degrees): 9.2880 6.6588 7.7710 90.00 114.44 90.00
Space group C2/c (No. 15)
Inequivalent atoms, fractional coordinates:
Nd (0.0000, 0.0521, 0.2500) x4
W (0.0000, 0.5000, 0.0000) x4
O (0.0000, 0.4324, 0.2500) x4
O (0.0075, 0.2137, 0.9649) x8
O (0.2245, 0.4867, 0.6129) x8

Properties
- E above lowest polymorph (eV per formula unit) = 0.00
- calculated density (g/cm3) = 6.195
- DFT total energy (Ry/atom) = -0.55447



# 9
This record from Alexandria via LeMat-Bulk describes a geometry-optimized Nd3WO7 structure. The functional is PBE with a Hubbard U.

Lattice parameters (Å, degrees): 7.7604 10.9114 7.7254 90.00 90.00 90.00
Space group C222_1 (No. 20)
Inequivalent atoms, fractional coordinates:
Nd (0.0197, 0.0000, 0.0000) x4
Nd (0.2329, 0.2673, 0.7538) x8
W (0.9999, 0.5000, 0.0000) x4
O (0.0000, 0.1306, 0.2500) x4
O (0.0000, 0.1351, 0.7500) x4
O (0.0000, 0.4334, 0.7500) x4
O (0.1854, 0.3770, 0.0318) x8
O (0.1983, 0.3803, 0.4747) x8

Properties
- calculated density (g/cm3) = 7.398
- DFT total energy (Ry/atom) = -0.59919



# 10
This record from Alexandria via LeMat-Bulk describes a geometry-optimized Nd2WO6 structure. The functional is PBE with a Hubbard U.

Lattice parameters (Å, degrees): 16.7300 11.5170 5.5950 90.00 107.12 90.00
Space group C2/c (No. 15)
Inequivalent atoms, fractional coordinates:
Nd (0.0000, 0.1079, 0.2500) x4
Nd (0.0000, 0.3703, 0.7500) x4
Nd (0.1750, 0.1142, 0.8861) x8
W (0.1528, 0.3493, 0.4346) x8
O (0.0796, 0.2391, 0.5782) x8
O (0.0801, 0.4623, 0.4785) x8
O (0.0922, 0.0141, 0.0776) x8
O (0.1027, 0.2806, 0.1221) x8
O (0.2310, 0.4470, 0.3584) x8
O (0.2337, 0.2943, 0.7270) x8

Properties
- E above lowest polymorph (eV per formula unit) = 0.31
- calculated density (g/cm3) = 7.328
- DFT total energy (Ry/atom) = -0.59163



# 11
This record from Alexandria via LeMat-Bulk describes a geometry-optimized Nd2W2O9 structure. The functional is PBE with a Hubbard U.

Lattice parameters (Å, degrees): 7.7971 10.0094 9.3667 90.00 107.70 90.00
Space group P2_1/c (No. 14)
Inequivalent atoms, fractional coordinates:
Nd (0.2107, 0.0521, 0.4256) x4
Nd (0.2730, 0.0549, 0.8487) x4
W (0.0814, 0.7313, 0.4663) x4
W (0.4305, 0.7503, 0.2612) x4
O (0.0040, 0.5987, 0.3241) x4
O (0.0521, 0.1040, 0.6097) x4
O (0.0879, 0.2079, 0.9307) x4
O (0.2358, 0.6342, 0.1378) x4
O (0.2476, 0.6841, 0.8611) x4
O (0.2772, 0.6229, 0.5821) x4
O (0.3973, 0.2162, 0.3387) x4
O (0.4387, 0.0943, 0.6546) x4
O (0.4930, 0.1175, 0.0972) x4

Properties
- calculated density (g/cm3) = 7.632
- DFT total energy (Ry/atom) = -0.58205



Q: Among the records above, which one has the lowest calculated density?
A: number 7



Q: Which of these has the lowest DFT total energy?
A: Nd3WO7